Entry 1:
Here is a relaxed HPd2CI crystal from Alexandria. Energies are from PBE.

The structure in POSCAR format:
```
HPd2CI
1.0
4.487 0.000 0.000
0.000 3.449 0.000
0.000 0.000 4.487
Pd C I H
2 1 1 1
direct
0.500 0.000 0.000 Pd
0.000 0.000 0.500 Pd
0.000 0.000 0.000 C
0.500 0.500 0.500 I
0.000 0.500 0.000 H
```

Relative energy among the computed polymorphs   0.00 eV/f.u.
Calculated volume   13.9 Å³/atom
Density   8.4 g cm⁻³
VASP energy   -4.04 eV per atom
M_tot   0.0 μB/cell

=====

Entry 2:
Here is a relaxed Mg2MnSiB crystal from Alexandria. Energies are from PBE.

The structure in POSCAR format:
```
Mg2MnSiB
1.0
-4.655 0.148 -2.348
-1.650 -0.080 3.266
0.081 5.212 0.169
Mn Mg Si B
1 2 1 1
direct
0.500 0.500 0.500 Mn
0.500 0.000 0.000 Mg
0.000 0.000 0.500 Mg
0.000 0.000 0.000 Si
0.000 0.500 0.000 B
```

Calculated volume   19.9 Å³/atom
Density   2.4 g cm⁻³
VASP energy   -4.00 eV per atom
M_tot   4.1 μB/cell

=====

Entry 3:
Here is a relaxed K3Na2TlF9 crystal from Alexandria. Energies are from PBE.

The structure in POSCAR format:
```
K3Na2TlF9
1.0
6.187 0.000 0.000
-3.094 5.358 0.000
0.000 0.000 7.870
F K Na Tl
9 3 2 1
direct
0.321 0.160 0.668 F
0.840 0.679 0.668 F
0.500 0.000 0.000 F
0.160 0.321 0.332 F
0.840 0.160 0.668 F
0.679 0.840 0.332 F
0.500 0.500 0.000 F
0.160 0.840 0.332 F
0.000 0.500 0.000 F
0.333 0.667 0.716 K
0.000 0.000 0.000 K
0.667 0.333 0.284 K
0.667 0.333 0.825 Na
0.333 0.667 0.175 Na
0.000 0.000 0.500 Tl
```

Calculated volume   17.4 Å³/atom
Density   3.4 g cm⁻³
VASP energy   -4.02 eV per atom
M_tot   1.2 μB/cell

=====

Entry 4:
Here is a relaxed NdHo8Tl6 crystal from Alexandria. Energies are from PBE.

The structure in POSCAR format:
```
NdHo8Tl6
1.0
9.108 0.000 0.000
4.554 7.887 0.000
4.554 2.629 6.494
Tl Ho Nd
6 8 1
direct
0.596 0.935 0.194 Tl
0.935 0.275 0.194 Tl
0.065 0.725 0.806 Tl
0.404 0.065 0.806 Tl
0.725 0.404 0.806 Tl
0.275 0.596 0.194 Tl
0.222 0.889 0.329 Ho
0.440 0.778 0.671 Ho
0.333 0.333 0.002 Ho
0.111 0.440 0.671 Ho
0.560 0.222 0.329 Ho
0.667 0.667 0.998 Ho
0.778 0.111 0.671 Ho
0.889 0.560 0.329 Ho
0.000 0.000 0.000 Nd
```

Calculated volume   31.1 Å³/atom
Density   9.6 g cm⁻³
VASP energy   -3.83 eV per atom
M_tot   0.0 μB/cell
DFT formation energy   -0.126 eV per atom

=====

Entry 5:
Here is a relaxed Pm5Er4Tm2 crystal from Alexandria. Energies are from PBE.

The structure in POSCAR format:
```
Pm5Er4Tm2
1.0
3.505 0.000 0.000
0.000 9.046 0.000
-1.752 -4.523 11.723
Er Pm Tm
4 5 2
direct
0.000 0.314 0.000 Er
0.000 0.686 0.000 Er
0.403 0.403 0.806 Er
0.597 0.597 0.194 Er
0.146 0.945 0.292 Pm
0.854 0.055 0.708 Pm
0.146 0.347 0.292 Pm
0.854 0.653 0.708 Pm
0.500 0.000 0.000 Pm
0.730 0.730 0.461 Tm
0.270 0.270 0.539 Tm
```

Relative energy among the computed polymorphs   0.89 eV/f.u.
Calculated volume   33.8 Å³/atom
Density   7.7 g cm⁻³
VASP energy   -4.42 eV per atom
M_tot   0.0 μB/cell
DFT formation energy   0.208 eV per atom

=====

Entry 6:
Here is a relaxed FeHI3 crystal from Alexandria. Energies are from PBE.

The structure in POSCAR format:
```
FeHI3
1.0
-0.527 3.742 -3.428
-0.658 -3.468 -3.684
-5.032 0.061 0.841
I H Fe
3 1 1
direct
0.500 0.000 0.000 I
0.000 0.000 0.500 I
0.000 0.500 0.000 I
0.000 0.000 0.000 H
0.500 0.500 0.500 Fe
```

Relative energy among the computed polymorphs   5.55 eV/f.u.
Calculated volume   26.6 Å³/atom
Density   5.5 g cm⁻³
VASP energy   -2.22 eV per atom
M_tot   4.0 μB/cell